No. 1
First-principles (PBE) data for crystalline CdGeSeN2 at its relaxed geometry, as listed in the Alexandria database.

V ... 20.99 Å³ per atom
Symmetry ... P4/mmm (123)
Relative energy among the computed polymorphs ... 320.0 kJ/mol of formula units
Formation energy from raw total energies ... 1.63 eV/atom
Size of the total moment ... 3.46 μB per formula unit
DOS(E_F) ... 0.381 states/eV per atom

Cell and atoms, written as POSCAR:
```
CdGeSeN2
1.0
-0.8083 -3.8263 -1.6386
-0.2928 -1.6128 3.9105
-5.7163 1.1820 0.0595
Se Ge N Cd
1 1 2 1
direct
0.0000 0.0000 0.5000
0.5000 0.5000 0.5000
0.5000 0.0000 0.0000
0.0000 0.5000 0.0000
0.0000 0.0000 0.0000
```



No. 2
First-principles (PBE) data for crystalline CdGeSeN2 at its relaxed geometry, as listed in the Alexandria database.

V ... 16.73 Å³ per atom
Symmetry ... P4/mmm (123)
Relative energy among the computed polymorphs ... 0.0 kJ/mol of formula units
Formation energy from raw total energies ... 0.96 eV/atom
Size of the total moment ... 1.49 μB per formula unit
DOS(E_F) ... 0.707 states/eV per atom

Cell and atoms, written as POSCAR:
```
CdGeSeN2
1.0
-0.5739 0.7262 -3.7154
3.5523 -1.1957 -0.7825
-1.9498 -5.3103 -0.7368
Se Ge N Cd
1 1 2 1
direct
0.0000 0.0000 0.5000
0.0000 0.0000 0.0000
0.5000 0.0000 0.0000
0.0000 0.5000 0.0000
0.5000 0.5000 0.5000
```



No. 3
First-principles (PBE) data for crystalline CdGeTe2N at its relaxed geometry, as listed in the Alexandria database.

V ... 23.75 Å³ per atom
Symmetry ... P4/mmm (123)
Relative energy among the computed polymorphs ... 0.0 kJ/mol of formula units
Formation energy from raw total energies ... 0.53 eV/atom
Size of the total moment ... 0.00 μB per formula unit
DOS(E_F) ... 0.323 states/eV per atom

Cell and atoms, written as POSCAR:
```
CdGeTe2N
1.0
-4.6754 3.3798 0.6527
-0.8887 -2.2488 5.2784
2.0176 2.5183 1.4126
Te Cd Ge N
2 1 1 1
direct
0.0000 0.5000 0.0000
0.5000 0.0000 0.0000
0.5000 0.5000 0.5000
0.0000 0.0000 0.0000
0.0000 0.0000 0.5000
```



No. 4
First-principles (PBE) data for crystalline CdGeTe2N at its relaxed geometry, as listed in the Alexandria database.

V ... 27.29 Å³ per atom
Symmetry ... P4/mmm (123)
Relative energy among the computed polymorphs ... 245.9 kJ/mol of formula units
Formation energy from raw total energies ... 1.04 eV/atom
Size of the total moment ... 1.97 μB per formula unit
DOS(E_F) ... 0.616 states/eV per atom

Cell and atoms, written as POSCAR:
```
CdGeTe2N
1.0
-4.5600 -1.4258 3.1704
3.4426 -2.5787 3.7918
0.3496 3.5605 2.1040
N Cd Te Ge
1 1 2 1
direct
0.0000 0.0000 0.5000
0.0000 0.0000 0.0000
0.5000 0.0000 0.0000
0.0000 0.5000 0.0000
0.5000 0.5000 0.5000
```



No. 5
First-principles (PBE) data for crystalline VCdGeN2 at its relaxed geometry, as listed in the Alexandria database.

V ... 15.14 Å³ per atom
Symmetry ... P4/mmm (123)
Formation energy from raw total energies ... 1.68 eV/atom
Size of the total moment ... 0.00 μB per formula unit
DOS(E_F) ... 0.966 states/eV per atom

Cell and atoms, written as POSCAR:
```
VCdGeN2
1.0
3.8422 0.0000 0.0000
0.0000 5.1288 0.0000
0.0000 0.0000 3.8422
Cd Ge N V
1 1 2 1
direct
0.0000 0.5000 0.0000
0.0000 0.0000 0.0000
0.0000 0.0000 0.5000
0.5000 0.0000 0.0000
0.5000 0.5000 0.5000
```



No. 6
First-principles (PBE) data for crystalline NaCd3Ge at its relaxed geometry, as listed in the Alexandria database.

V ... 23.54 Å³ per atom
Symmetry ... P2_1/m (11)
Relative energy among the computed polymorphs ... 0.0 kJ/mol of formula units
Size of the total moment ... 0.00 μB per formula unit
DOS(E_F) ... 0.351 states/eV per atom

Cell and atoms, written as POSCAR:
```
NaCd3Ge
1.0
5.7924 0.0000 0.6780
0.0000 6.0120 0.0000
0.8283 0.0000 6.8575
Na Cd Ge
2 6 2
direct
0.3414 0.2500 0.6706
0.6586 0.7500 0.3294
0.7962 0.5047 0.8628
0.8927 0.2500 0.4783
0.2038 0.0047 0.1372
0.7962 0.9953 0.8628
0.1073 0.7500 0.5217
0.2038 0.4953 0.1372
0.6270 0.2500 0.1983
0.3730 0.7500 0.8017
```